[1]
A plane-wave DFT calculation with meta-GGA SCAN was carried out for a crystal of Ba3FeC relaxed with PBEsol.

Computed properties:
magnetic moment: 0.3970 μB per atom
symmetry: Pm-3m, No. 221
calculated formation energy: 1.450 eV/atom

Structure (POSCAR):
```
Ba3FeC
1.0
5.340 0.000 0.000
0.000 5.340 0.000
0.000 0.000 5.340
Ba C Fe
3 1 1
direct
0.000 0.500 0.000
0.500 0.000 0.000
0.000 0.000 0.500
0.500 0.500 0.500
0.000 0.000 0.000
```

=====

[2]
A plane-wave DFT calculation with meta-GGA SCAN was carried out for a crystal of BaGe2C2 relaxed with PBEsol.

Computed properties:
magnetic moment: 0.0000 μB per atom
symmetry: I4/mmm, No. 139
calculated formation energy: 0.826 eV/atom

Structure (POSCAR):
```
BaGe2C2
1.0
4.001 0.000 0.000
0.000 4.001 0.000
-2.000 -2.000 5.368
Ge C Ba
2 2 1
direct
0.250 0.750 0.500
0.750 0.250 0.500
0.319 0.319 0.639
0.681 0.681 0.361
0.000 0.000 0.000
```

=====

[3]
A plane-wave DFT calculation with meta-GGA SCAN was carried out for a crystal of Ba2GeC relaxed with PBEsol.

Computed properties:
magnetic moment: 0.0005 μB per atom
symmetry: Fm-3m, No. 225
calculated formation energy: 0.739 eV/atom

Structure (POSCAR):
```
Ba2GeC
1.0
-4.857 0.846 -2.083
-4.343 -0.359 3.106
-2.735 4.414 1.296
Ge Ba C
1 2 1
direct
0.500 0.500 0.500
0.250 0.250 0.250
0.750 0.750 0.750
0.000 0.000 0.000
```

=====

[4]
A plane-wave DFT calculation with meta-GGA SCAN was carried out for a crystal of Ba3GeC relaxed with PBEsol.

Computed properties:
magnetic moment: 0.3898 μB per atom
symmetry: Pm-3m, No. 221
calculated formation energy: 0.936 eV/atom

Structure (POSCAR):
```
Ba3GeC
1.0
-2.807 2.482 5.010
4.351 -2.552 3.701
3.512 5.145 -0.581
Ba Ge C
3 1 1
direct
0.000 0.500 0.000
0.000 0.000 0.500
0.500 0.000 0.000
0.000 0.000 0.000
0.500 0.500 0.500
```

=====

[5]
A plane-wave DFT calculation with meta-GGA SCAN was carried out for a crystal of BaZn2GeC relaxed with PBEsol.

Computed properties:
magnetic moment: 0.1777 μB per atom
symmetry: P4/mmm, No. 123
calculated formation energy: 2.290 eV/atom

Structure (POSCAR):
```
BaZn2GeC
1.0
-0.615 4.200 -4.068
-6.220 -0.807 0.108
-0.481 4.315 4.528
Ba Zn C Ge
1 2 1 1
direct
0.000 0.000 0.000
0.000 0.000 0.500
0.000 0.500 0.000
0.500 0.500 0.500
0.500 0.000 0.000
```

=====

[6]
A plane-wave DFT calculation with meta-GGA SCAN was carried out for a crystal of BaH8C6N6O8 relaxed with PBEsol.

Computed properties:
magnetic moment: 0.0000 μB per atom
symmetry: P-1, No. 2

Structure (POSCAR):
```
BaH8C6N6O8
1.0
7.056 0.100 0.015
2.121 9.003 -0.036
1.233 0.548 9.125
H C Ba O N
16 12 2 16 12
direct
0.769 0.993 0.222
0.856 0.409 0.434
0.727 0.015 0.052
0.063 0.194 0.545
0.552 0.229 0.381
0.448 0.771 0.619
0.273 0.985 0.948
0.937 0.806 0.455
0.560 0.183 0.639
0.285 0.391 0.814
0.656 0.628 0.023
0.344 0.372 0.977
0.144 0.591 0.566
0.231 0.007 0.778
0.440 0.817 0.361
0.715 0.609 0.186
0.286 0.972 0.212
0.262 0.997 0.473
0.915 0.815 0.685
0.714 0.028 0.788
0.738 0.003 0.527
0.085 0.185 0.315
0.819 0.412 0.665
0.181 0.588 0.335
0.643 0.600 0.506
0.583 0.608 0.770
0.417 0.392 0.230
0.357 0.400 0.494
0.096 0.729 0.002
0.904 0.271 0.998
0.647 0.111 0.892
0.037 0.690 0.698
0.949 0.292 0.678
0.051 0.708 0.322
0.692 0.054 0.403
0.963 0.310 0.302
0.769 0.589 0.082
0.513 0.323 0.122
0.607 0.654 0.380
0.170 0.021 0.880
0.231 0.411 0.918
0.487 0.677 0.878
0.353 0.889 0.108
0.830 0.979 0.120
0.393 0.346 0.620
0.308 0.946 0.597
0.780 0.471 0.527
0.867 0.870 0.547
0.547 0.666 0.630
0.834 0.891 0.804
0.662 0.079 0.650
0.280 0.520 0.215
0.166 0.109 0.196
0.720 0.480 0.785
0.338 0.921 0.350
0.133 0.130 0.453
0.453 0.334 0.370
0.220 0.529 0.473
```

=====

[7]
A plane-wave DFT calculation with meta-GGA SCAN was carried out for a crystal of BaH6C2S2N2O3 relaxed with PBEsol.

Computed properties:
magnetic moment: 0.0000 μB per atom
symmetry: C2/m, No. 12

Structure (POSCAR):
```
BaH6C2S2N2O3
1.0
-2.828 -3.260 -0.888
7.357 -2.844 -2.056
0.053 -3.556 12.883
O H S N Ba C
6 12 4 4 2 4
direct
0.744 0.489 0.230
0.143 0.287 0.067
0.998 0.996 0.632
0.256 0.511 0.770
0.857 0.713 0.933
0.002 0.004 0.368
0.686 0.725 0.980
0.142 0.931 0.379
0.785 0.571 0.293
0.039 0.725 0.980
0.781 0.563 0.176
0.789 0.931 0.379
0.215 0.429 0.707
0.858 0.069 0.621
0.314 0.275 0.020
0.211 0.069 0.621
0.219 0.437 0.824
0.961 0.275 0.020
0.356 0.712 0.107
0.354 0.708 0.382
0.644 0.288 0.893
0.646 0.292 0.618
0.337 0.674 0.589
0.533 0.066 0.187
0.467 0.934 0.813
0.663 0.326 0.411
0.862 0.724 0.733
0.138 0.276 0.267
0.459 0.917 0.152
0.656 0.311 0.498
0.541 0.083 0.848
0.344 0.689 0.502
```

=====

[8]
A plane-wave DFT calculation with meta-GGA SCAN was carried out for a crystal of Ba2H14C4O15 relaxed with PBEsol.

Computed properties:
magnetic moment: 0.0054 μB per atom
symmetry: C2/c, No. 15

Structure (POSCAR):
```
Ba2H14C4O15
1.0
7.630 -0.014 -0.039
-3.789 6.622 0.039
-2.636 -2.888 13.625
O H C Ba
30 28 8 4
direct
0.212 0.791 0.986
0.246 0.994 0.385
0.303 0.967 0.634
0.924 0.941 0.242
0.653 0.472 0.127
0.347 0.528 0.873
0.076 0.059 0.758
0.226 0.420 0.380
0.844 0.525 0.373
0.449 0.199 0.250
0.695 0.774 0.486
0.200 0.682 0.258
0.788 0.209 0.014
0.551 0.801 0.750
0.763 0.267 0.496
0.237 0.733 0.504
0.774 0.580 0.620
0.305 0.226 0.514
0.697 0.033 0.366
0.110 0.861 0.115
0.729 0.733 0.996
0.890 0.139 0.885
0.800 0.318 0.742
0.460 0.154 0.880
0.754 0.006 0.615
0.833 0.669 0.866
0.540 0.846 0.120
0.156 0.475 0.627
0.167 0.331 0.134
0.271 0.267 0.004
0.818 0.255 0.799
0.718 0.581 0.090
0.506 0.381 0.083
0.759 0.459 0.580
0.415 0.827 0.070
0.585 0.173 0.930
0.282 0.419 0.910
0.241 0.541 0.420
0.009 0.372 0.590
0.667 0.904 0.807
0.743 0.655 0.570
0.379 0.178 0.920
0.333 0.096 0.193
0.257 0.345 0.430
0.621 0.822 0.080
0.403 0.140 0.307
0.798 0.423 0.417
0.968 0.905 0.185
0.780 0.217 0.685
0.220 0.783 0.315
0.991 0.628 0.410
0.202 0.577 0.583
0.956 0.019 0.701
0.032 0.095 0.815
0.044 0.981 0.299
0.182 0.745 0.201
0.494 0.619 0.917
0.597 0.860 0.693
0.726 0.093 0.455
0.274 0.907 0.545
0.863 0.729 0.955
0.277 0.057 0.476
0.723 0.943 0.524
0.137 0.271 0.045
0.081 0.801 0.024
0.919 0.199 0.976
0.844 0.266 0.222
0.156 0.734 0.778
0.544 0.623 0.278
0.456 0.377 0.722
```

=====

| no. | DFT total energy (Ry/atom) | DOS(E_F) (states/eV/f.u.) |
| --- | --- | --- |
| 1 | -2.0525 | 4.1 |
| 2 | -1.3788 | 2.1 |
| 3 | -1.9354 | 3.3 |
| 4 | -2.1044 | 3.6 |
| 5 | -1.2395 | 3.2 |
| 6 | -0.6622 | 0.0 |
| 7 | -0.6908 | 0.0 |
| 8 | -0.6532 | 0.0 |